Record 1
# Sb3RhC

A geometry-optimized Sb3RhC structure (PBEsol, Alexandria).

Cell lengths 5.004, 5.004, 5.004 Å; angles 90.00, 90.00, 90.00 degrees
Site moments in Bohr magnetons follow the coordinates.
Sites, in units of the cell vectors:
1 C 0.500 0.500 0.500  0.13
2 Sb 0.000 0.500 0.000  -0.01
3 Sb 0.000 0.000 0.500  -0.01
4 Sb 0.500 0.000 0.000  -0.01
5 Rh 0.000 0.000 0.000  -0.03

Calculated values
Fermi-level density of states = 3.90 states/eV per cell
E = -4.68 eV/atom
Crystal system = cubic
Uncorrected formation energy = 1.61 eV/atom

Record 2
# FeNiCl

A geometry-optimized FeNiCl structure (PBEsol, Alexandria).

Cell lengths 2.808, 2.808, 5.351 Å; angles 105.21, 105.21, 90.00 degrees
Site moments in Bohr magnetons follow the coordinates.
Sites, in units of the cell vectors:
1 Cl 0.009 0.009 0.017  0.10
2 Fe 0.670 0.670 0.341  2.87
3 Ni 0.321 0.321 0.642  0.74

Calculated values
Fermi-level density of states = 1.66 states/eV per cell
E = -5.41 eV/atom
Crystal system = tetragonal
Uncorrected formation energy = 0.30 eV/atom

Record 3
# BP2SeO

A geometry-optimized BP2SeO structure (PBEsol, Alexandria).

Cell lengths 2.665, 5.102, 5.102 Å; angles 90.00, 90.00, 90.00 degrees
Sites, in units of the cell vectors:
1 P 0.000 0.000 0.500
2 P 0.000 0.500 0.000
3 B 0.000 0.000 0.000
4 Se 0.500 0.500 0.500
5 O 0.500 0.000 0.000

Calculated values
Fermi-level density of states = 3.38 states/eV per cell
E = -5.35 eV/atom
Crystal system = tetragonal
Uncorrected formation energy = 0.19 eV/atom

Record 4
# BaSr2Be

A geometry-optimized BaSr2Be structure (PBEsol, Alexandria).

Cell lengths 4.846, 5.549, 5.549 Å; angles 90.00, 90.00, 90.00 degrees
Sites, in units of the cell vectors:
1 Be 0.500 0.000 0.000
2 Ba 0.500 0.500 0.500
3 Sr 0.000 0.500 0.000
4 Sr 0.000 0.000 0.500

Calculated values
Fermi-level density of states = 4.98 states/eV per cell
E = -1.96 eV/atom
Crystal system = tetragonal
Calculated formation energy = 0.50 eV per atom

> Fermi-level density of states of number 3 (BP2SeO)?

3.38 states/eV per cell

> What is the Fermi-level density of states in the third record?

3.38 states/eV per cell

> Which of these has the highest E?

BaSr2Be